A plane-wave DFT calculation with PBE was carried out for a relaxed Na3Zr5S12 crystal.

Cell lengths 13.885, 13.885, 13.885 Å; angles 109.47, 109.47, 109.47 degrees
Element x y z (fractional)
S  0.705  0.114  0.026
Na  0.625  0.250  0.375
Zr  0.750  0.625  0.375
S  0.526  0.321  0.912
S  0.588  0.614  0.410
S  0.821  0.910  0.295
Na  0.375  0.625  0.250
Zr  0.500  0.000  0.000
Na  0.875  0.125  0.250
S  0.886  0.590  0.912
S  0.114  0.705  0.526
Na  0.125  0.250  0.875
S  0.679  0.205  0.590
Na  0.750  0.875  0.625
Zr  0.000  0.500  0.000
S  0.588  0.974  0.679
S  0.090  0.179  0.205
S  0.974  0.588  0.179
S  0.026  0.614  0.705
Na  0.250  0.625  0.875
S  0.205  0.679  0.090
Zr  0.875  0.625  0.750
S  0.614  0.026  0.205
S  0.088  0.179  0.474
S  0.026  0.412  0.821
S  0.205  0.526  0.614
Zr  0.125  0.750  0.375
S  0.705  0.590  0.179
S  0.526  0.205  0.114
Zr  0.125  0.375  0.250
S  0.321  0.526  0.412
Na  0.125  0.875  0.750
Na  0.250  0.125  0.375
S  0.295  0.410  0.821
Zr  0.500  0.500  0.000
S  0.321  0.795  0.410
S  0.410  0.295  0.321
Zr  0.500  0.500  0.500
Zr  0.625  0.750  0.875
Na  0.750  0.375  0.125
Zr  0.250  0.375  0.625
Zr  0.375  0.250  0.125
S  0.912  0.090  0.886
S  0.614  0.588  0.910
Na  0.875  0.750  0.125
S  0.679  0.474  0.588
S  0.386  0.412  0.090
Zr  0.375  0.125  0.750
Na  0.375  0.750  0.625
Zr  0.250  0.875  0.125
S  0.386  0.974  0.795
S  0.821  0.912  0.026
Zr  0.000  0.000  0.000
Zr  0.500  0.000  0.500
S  0.974  0.386  0.295
S  0.795  0.321  0.910
S  0.179  0.090  0.705
S  0.590  0.705  0.679
S  0.912  0.821  0.526
S  0.474  0.679  0.088
S  0.910  0.088  0.614
Zr  0.625  0.875  0.250
S  0.795  0.474  0.386
Na  0.625  0.375  0.750
S  0.474  0.795  0.886
Zr  0.000  0.500  0.500
Zr  0.875  0.250  0.625
Zr  0.750  0.125  0.875
S  0.886  0.295  0.474
S  0.295  0.886  0.974
S  0.590  0.886  0.412
S  0.090  0.912  0.386
Zr  0.000  0.000  0.500
S  0.412  0.026  0.321
S  0.088  0.910  0.114
S  0.410  0.114  0.588
S  0.179  0.088  0.974
S  0.910  0.821  0.795
S  0.412  0.386  0.590
S  0.114  0.410  0.088

Output
total magnetization	0.000	μB/f.u.
E_form (uncorrected)	-1.226	eV per atom

A plane-wave DFT calculation with PBE was carried out for a relaxed ReMoIr2 crystal.

Cell lengths 4.772, 4.772, 4.823 Å; angles 80.55, 80.55, 33.48 degrees
Element x y z (fractional)
Mo  0.499  0.499  0.512
Ir  0.997  0.997  0.017
Ir  0.752  0.752  0.739
Re  0.252  0.252  0.232

Output
total magnetization	0.000	μB/f.u.
DFT formation energy	-0.64	eV/f.u.

A plane-wave DFT calculation with PBE was carried out for a relaxed InSi2Ge crystal.

Cell lengths 4.767, 4.767, 4.767 Å; angles 60.00, 60.00, 60.00 degrees
Element x y z (fractional)
Ge  0.000  0.000  0.000
Si  0.750  0.750  0.750
In  0.500  0.500  0.500
Si  0.250  0.250  0.250

Output
total magnetization	0.000	μB/f.u.
E_form (uncorrected)	0.541	eV per atom

A plane-wave DFT calculation with PBE was carried out for a relaxed Y2HgO4 crystal.

Cell lengths 6.871, 6.871, 6.871 Å; angles 60.00, 60.00, 60.00 degrees
Element x y z (fractional)
Y  0.625  0.125  0.625
Y  0.625  0.625  0.125
Hg  0.250  0.250  0.250
Hg  0.000  0.000  0.000
Y  0.625  0.625  0.625
O  0.830  0.390  0.390
Y  0.125  0.625  0.625
O  0.390  0.830  0.390
O  0.390  0.390  0.830
O  0.860  0.860  0.860
O  0.420  0.860  0.860
O  0.390  0.390  0.390
O  0.860  0.420  0.860
O  0.860  0.860  0.420

Output
total magnetization	0.000	μB/f.u.
E_form (uncorrected)	-2.535	eV per atom

A plane-wave DFT calculation with PBE was carried out for a relaxed SmGdGa4 crystal.

Cell lengths 5.567, 5.567, 5.567 Å; angles 60.00, 60.00, 60.00 degrees
Last column: magnetic moment on the atom in μB.
Element x y z (fractional)
Ga  0.625  0.625  0.125  -0.01
Ga  0.625  0.625  0.625  -0.01
Ga  0.125  0.625  0.625  -0.01
Sm  0.000  0.000  0.000  0.10
Gd  0.250  0.250  0.250  7.15
Ga  0.625  0.125  0.625  -0.01

Output
total magnetization	7.560	μB/f.u.
DFT formation energy	-3.43	eV/f.u.

A plane-wave DFT calculation with PBE was carried out for a relaxed Sm8Ho4Mg crystal.

Cell lengths 7.136, 7.136, 10.701 Å; angles 90.00, 109.48, 120.00 degrees
Element x y z (fractional)
Sm  0.028  0.773  0.282
Ho  0.000  0.000  0.000
Ho  0.500  0.500  0.000
Mg  0.000  0.500  0.500
Sm  0.028  0.255  0.282
Sm  0.436  0.218  0.654
Sm  0.972  0.227  0.718
Ho  0.000  0.500  0.000
Sm  0.564  0.782  0.346
Sm  0.509  0.255  0.282
Sm  0.491  0.745  0.718
Sm  0.972  0.745  0.718
Ho  0.500  0.000  0.000

Output
total magnetization	0.001	μB/f.u.
DFT formation energy	2.32	eV/f.u.

A plane-wave DFT calculation with PBE was carried out for a relaxed CsPu2PdS4 crystal.

Cell lengths 4.084, 7.312, 13.949 Å; angles 90.00, 90.00, 106.21 degrees
Last column: magnetic moment on the atom in μB.
Element x y z (fractional)
Pd  0.169  0.337  0.250  -0.35
Cs  0.893  0.786  0.250  -0.01
Pu  0.633  0.267  0.438  4.93
Pd  0.831  0.663  0.750  -0.35
S  0.000  0.000  0.500  -0.13
S  0.421  0.842  0.750  -0.18
Cs  0.107  0.214  0.750  -0.01
Pu  0.633  0.267  0.062  4.93
S  0.256  0.512  0.401  -0.15
Pu  0.367  0.733  0.938  4.93
S  0.744  0.488  0.901  -0.15
S  0.256  0.512  0.099  -0.15
S  0.744  0.488  0.599  -0.15
S  0.579  0.158  0.250  -0.18
S  0.000  0.000  0.000  -0.13
Pu  0.367  0.733  0.562  4.93

Output
total magnetization	9.021	μB/f.u.
E_form (uncorrected)	-1.379	eV per atom

A plane-wave DFT calculation with PBE was carried out for a relaxed K2US3 crystal.

Cell lengths 4.139, 5.768, 7.983 Å; angles 111.18, 90.00, 90.00 degrees
Last column: magnetic moment on the atom in μB.
Element x y z (fractional)
S  0.500  0.882  0.764  -0.05
K  0.500  0.339  0.679  0.00
S  0.000  0.500  0.000  -0.06
S  0.500  0.118  0.236  -0.05
K  0.500  0.661  0.321  0.00
U  0.000  0.000  0.000  2.09

Output
total magnetization	2.000	μB/f.u.
E_form (uncorrected)	-1.301	eV per atom

A plane-wave DFT calculation with PBE was carried out for a relaxed Fe3C crystal.

Cell lengths 3.741, 3.741, 2.891 Å; angles 90.00, 90.00, 101.90 degrees
Last column: magnetic moment on the atom in μB.
Element x y z (fractional)
Fe  0.000  0.500  0.500  2.08
C  0.000  0.000  0.000  -0.11
Fe  0.500  0.500  0.000  2.06
Fe  0.500  0.000  0.500  2.08

Output
total magnetization	6.098	μB/f.u.
DFT formation energy	3.16	eV/f.u.

A plane-wave DFT calculation with PBE was carried out for a relaxed LaScAl2Zn5 crystal.

Cell lengths 4.760, 4.760, 7.938 Å; angles 90.00, 90.00, 90.00 degrees
Element x y z (fractional)
Zn  0.500  0.000  0.752
Al  0.500  0.500  0.841
Al  0.500  0.500  0.159
Zn  0.500  0.500  0.500
Sc  0.000  0.000  0.000
Zn  0.000  0.500  0.248
La  0.000  0.000  0.500
Zn  0.500  0.000  0.248
Zn  0.000  0.500  0.752

Output
total magnetization	0.000	μB/f.u.
DFT formation energy	-0.45	eV/f.u.

A plane-wave DFT calculation with PBE was carried out for a relaxed AlReOs crystal.

Cell lengths 6.935, 6.689, 2.747 Å; angles 83.45, 73.37, 23.17 degrees
Element x y z (fractional)
Al  0.998  0.998  0.002
Os  0.336  0.336  0.664
Re  0.667  0.667  0.333

Output
total magnetization	0.000	μB/f.u.
DFT formation energy	0.44	eV/f.u.

A plane-wave DFT calculation with PBE was carried out for a relaxed KTl2Au crystal.

Cell lengths 3.892, 3.887, 8.117 Å; angles 90.00, 90.00, 90.00 degrees
Element x y z (fractional)
K  0.500  0.500  0.720
Au  0.000  0.000  0.453
Tl  0.000  0.000  0.038
Tl  0.500  0.500  0.289

Output
total magnetization	0.000	μB/f.u.
DFT formation energy	-0.34	eV/f.u.